A relaxed Lu3Tc crystal, computed with PBE.

abc: 7.1467 7.1467 7.1467
angles: 90.00 90.00 90.00
Space group Fm-3m (No. 225)
One atom of each set of equivalent atoms:
Lu (0.0000, 0.0000, 0.0000) (multiplicity 4)
Lu (0.2500, 0.2500, 0.2500) (multiplicity 8)
Tc (0.0000, 0.0000, 0.5000) (multiplicity 4)

Output
Uncorrected energy ... -23.43 eV per formula unit
V ... 91.3 Å³/f.u.
E_form ... 0.1239 eV per atom